# 1
This record from the Alexandria database describes a relaxed structure of AsOsRh2. The functional is GGA-PBE.

```
AsOsRh2
1.0
4.760 0.000 0.000
1.632 4.471 0.000
-3.196 -2.235 2.728
Rh As Os
2 1 1
direct
0.000 0.000 0.000
0.500 0.500 0.000
0.250 0.750 0.500
0.750 0.250 0.500
```

## Properties
Energy of formation from the pure elements   200 meV/atom



# 2
This record from the Alexandria database describes a relaxed structure of Dy4MgAl2. The functional is GGA-PBE.

```
Dy4MgAl2
1.0
-3.910 -0.276 -6.056
0.392 -6.479 0.042
-5.075 -0.260 7.094
Dy Mg Al
8 2 4
direct
0.603 0.486 0.233
0.892 0.750 0.734
0.108 0.250 0.266
0.603 0.014 0.233
0.961 0.250 0.591
0.397 0.986 0.767
0.397 0.514 0.767
0.039 0.750 0.409
0.206 0.750 0.097
0.794 0.250 0.903
0.782 0.750 0.033
0.218 0.250 0.967
0.521 0.250 0.530
0.479 0.750 0.470
```

## Properties
Energy of formation from the pure elements   -53 meV/atom
Energy relative to the lowest polymorph listed for this composition   0.1439 eV per atom



# 3
This record from the Alexandria database describes a relaxed structure of Ce2AlAu. The functional is GGA-PBE.

```
Ce2AlAu
1.0
-4.997 3.328 -1.188
-4.079 1.209 4.781
-0.478 5.834 2.589
Ce Al Au
4 2 2
direct
0.233 0.267 0.767
0.267 0.733 0.233
0.767 0.733 0.233
0.733 0.267 0.767
0.750 0.212 0.288
0.250 0.788 0.712
0.250 0.228 0.272
0.750 0.772 0.728
```

## Properties
Energy of formation from the pure elements   -444 meV/atom
Energy relative to the lowest polymorph listed for this composition   0.0049 eV per atom



Please write out number 3 again, unchanged.
This record from the Alexandria database describes a relaxed structure of Ce2AlAu. The functional is GGA-PBE.

```
Ce2AlAu
1.0
-4.997 3.328 -1.188
-4.079 1.209 4.781
-0.478 5.834 2.589
Ce Al Au
4 2 2
direct
0.233 0.267 0.767
0.267 0.733 0.233
0.767 0.733 0.233
0.733 0.267 0.767
0.750 0.212 0.288
0.250 0.788 0.712
0.250 0.228 0.272
0.750 0.772 0.728
```

## Properties
Energy of formation from the pure elements   -444 meV/atom
Energy relative to the lowest polymorph listed for this composition   0.0049 eV per atom



- What is the energy of formation from the pure elements in the third record?
  -444 meV/atom